*A*
# BeInP2O, optimized geometry, DFT PBE
# density of states at the Fermi level	0.39	states/eV/atom
# total magnetization	0.0	μB per formula unit
data_BeInP2O
_chemical_formula_sum 'Be1 In1 P2 O1'
_symmetry_space_group_name_H-M 'P 4/m m m'
_symmetry_Int_Tables_number 123
_symmetry_space_group_name_Hall '-P 4 2'
_cell_length_a 5.126
_cell_length_b 5.126
_cell_length_c 2.963
_cell_angle_alpha 90.00
_cell_angle_beta 90.00
_cell_angle_gamma 90.00
loop_
_atom_site_label
_atom_site_fract_x
_atom_site_fract_y
_atom_site_fract_z
Be1 0.000 0.000 0.000
In1 0.500 0.500 0.500
P1 0.000 0.500 0.000
O1 0.000 0.000 0.500

---

*B*
# BeInP2O, optimized geometry, DFT PBE
# density of states at the Fermi level	1.16	states/eV/atom
# total magnetization	0.0	μB per formula unit
data_BeInP2O
_chemical_formula_sum 'Be1 In1 P2 O1'
_symmetry_space_group_name_H-M 'P 4/m m m'
_symmetry_Int_Tables_number 123
_symmetry_space_group_name_Hall '-P 4 2'
_cell_length_a 5.161
_cell_length_b 5.161
_cell_length_c 3.887
_cell_angle_alpha 90.00
_cell_angle_beta 90.00
_cell_angle_gamma 90.00
loop_
_atom_site_label
_atom_site_fract_x
_atom_site_fract_y
_atom_site_fract_z
Be1 0.000 0.000 0.000
In1 0.500 0.500 0.500
P1 0.000 0.500 0.500
O1 0.500 0.500 0.000

---

Most stable: *A*. Least stable: *B*.

---

*A*
# BeInOs2, optimized geometry, DFT PBE
# density of states at the Fermi level	0.34	states/eV/atom
# total magnetization	0.0	μB per formula unit
data_BeInOs2
_chemical_formula_sum 'Be4 In4 Os8'
_symmetry_space_group_name_H-M 'I -4 2 d'
_symmetry_Int_Tables_number 122
_symmetry_space_group_name_Hall 'I -4 2bw'
_cell_length_a 4.027
_cell_length_b 4.027
_cell_length_c 17.313
_cell_angle_alpha 90.00
_cell_angle_beta 90.00
_cell_angle_gamma 90.00
loop_
_atom_site_label
_atom_site_fract_x
_atom_site_fract_y
_atom_site_fract_z
Be1 0.000 0.000 0.000
In1 0.000 0.000 0.500
Os1 0.152 0.750 0.125

---

*B*
# BeInOs2, optimized geometry, DFT PBE
# density of states at the Fermi level	0.34	states/eV/atom
# total magnetization	0.0	μB per formula unit
data_BeInOs2
_chemical_formula_sum 'Be1 In1 Os2'
_symmetry_space_group_name_H-M 'P 4 m m'
_symmetry_Int_Tables_number 99
_symmetry_space_group_name_Hall 'P 4 -2'
_cell_length_a 2.842
_cell_length_b 2.842
_cell_length_c 7.489
_cell_angle_alpha 90.00
_cell_angle_beta 90.00
_cell_angle_gamma 90.00
loop_
_atom_site_label
_atom_site_fract_x
_atom_site_fract_y
_atom_site_fract_z
Be1 0.000 0.000 0.000
In1 0.500 0.500 0.299
Os1 0.000 0.000 0.586
Os2 0.500 0.500 0.814

---

*C*
# BeInOs2, optimized geometry, DFT PBE
# density of states at the Fermi level	1.03	states/eV/atom
# total magnetization	0.7	μB per formula unit
data_BeInOs2
_chemical_formula_sum 'Be2 In2 Os4'
_symmetry_space_group_name_H-M 'C m m 2'
_symmetry_Int_Tables_number 35
_symmetry_space_group_name_Hall 'C 2 -2'
_cell_length_a 2.838
_cell_length_b 4.864
_cell_length_c 8.891
_cell_angle_alpha 90.00
_cell_angle_beta 90.00
_cell_angle_gamma 90.00
loop_
_atom_site_label
_atom_site_fract_x
_atom_site_fract_y
_atom_site_fract_z
Be1 0.000 0.000 0.000
In1 0.000 0.500 0.264
Os1 0.000 0.000 0.545
Os2 0.000 0.500 0.795

---

*D*
# BeInOs2, optimized geometry, DFT PBE
# density of states at the Fermi level	0.81	states/eV/atom
# total magnetization	0.0	μB per formula unit
data_BeInOs2
_chemical_formula_sum 'Be1 In1 Os2'
_symmetry_space_group_name_H-M 'P 1 2/m 1'
_symmetry_Int_Tables_number 10
_symmetry_space_group_name_Hall '-P 2y'
_cell_length_a 2.849
_cell_length_b 3.909
_cell_length_c 5.426
_cell_angle_alpha 90.00
_cell_angle_beta 103.08
_cell_angle_gamma 90.00
loop_
_atom_site_label
_atom_site_fract_x
_atom_site_fract_y
_atom_site_fract_z
Be1 0.000 0.000 0.000
In1 0.000 0.000 0.500
Os1 0.352 0.500 0.207

---

Most stable: *B*. Least stable: *C*.